Material: TbB3O6
Method: DFT, GGA-PBE
State: optimized geometry

Lattice parameters (Å, degrees): 7.450 12.358 16.094 90.00 90.00 90.00
Positions (direct):
1 B 0.573 0.345 0.443
2 B 0.569 0.873 0.757
3 B 0.423 0.857 0.609
4 B 0.930 0.313 0.283
5 B 0.577 0.518 0.653
6 B 0.560 0.678 0.968
7 B 0.070 0.813 0.217
8 B 0.077 0.482 0.347
9 B 0.431 0.373 0.743
10 B 0.073 0.655 0.557
11 B 0.430 0.813 0.217
12 B 0.923 0.143 0.391
13 B 0.573 0.155 0.943
14 B 0.927 0.345 0.443
15 B 0.069 0.127 0.243
16 B 0.923 0.982 0.153
17 B 0.440 0.178 0.532
18 B 0.577 0.357 0.891
19 B 0.060 0.178 0.532
20 B 0.927 0.155 0.943
21 B 0.560 0.822 0.468
22 B 0.427 0.845 0.057
23 B 0.923 0.518 0.653
24 B 0.923 0.357 0.891
25 B 0.427 0.655 0.557
26 B 0.930 0.187 0.783
27 B 0.431 0.127 0.243
28 B 0.077 0.857 0.609
29 B 0.931 0.627 0.257
30 B 0.077 0.643 0.109
31 B 0.570 0.187 0.783
32 B 0.070 0.687 0.717
33 B 0.077 0.018 0.847
34 B 0.940 0.678 0.968
35 B 0.931 0.873 0.757
36 B 0.060 0.322 0.032
37 B 0.430 0.687 0.717
38 B 0.940 0.822 0.468
39 B 0.423 0.018 0.847
40 B 0.073 0.845 0.057
41 B 0.577 0.982 0.153
42 B 0.069 0.373 0.743
43 B 0.569 0.627 0.257
44 B 0.423 0.482 0.347
45 B 0.423 0.643 0.109
46 B 0.577 0.143 0.391
47 B 0.570 0.313 0.283
48 B 0.440 0.322 0.032
49 O 0.073 0.735 0.629
50 O 0.466 0.577 0.184
51 O 0.573 0.265 0.371
52 O 0.543 0.376 0.096
53 O 0.750 0.104 0.952
54 O 0.936 0.623 0.048
55 O 0.564 0.936 0.835
56 O 0.019 0.791 0.979
57 O 0.437 0.398 0.282
58 O 0.750 0.636 0.224
59 O 0.250 0.305 0.065
60 O 0.982 0.271 0.724
61 O 0.250 0.894 0.579
62 O 0.457 0.624 0.904
63 O 0.518 0.229 0.224
64 O 0.250 0.961 0.840
65 O 0.557 0.568 0.570
66 O 0.750 0.352 0.255
67 O 0.482 0.771 0.776
68 O 0.519 0.291 0.521
69 O 0.443 0.068 0.930
70 O 0.937 0.602 0.718
71 O 0.563 0.898 0.218
72 O 0.250 0.136 0.276
73 O 0.250 0.604 0.548
74 O 0.457 0.876 0.404
75 O 0.557 0.932 0.070
76 O 0.250 0.364 0.776
77 O 0.966 0.077 0.316
78 O 0.563 0.602 0.718
79 O 0.436 0.377 0.952
80 O 0.927 0.235 0.871
81 O 0.034 0.923 0.684
82 O 0.057 0.432 0.430
83 O 0.564 0.564 0.335
84 O 0.063 0.398 0.282
85 O 0.564 0.877 0.548
86 O 0.064 0.436 0.665
87 O 0.043 0.624 0.904
88 O 0.750 0.461 0.660
89 O 0.750 0.039 0.160
90 O 0.250 0.606 0.079
91 O 0.750 0.805 0.435
92 O 0.936 0.877 0.548
93 O 0.750 0.394 0.921
94 O 0.250 0.852 0.245
95 O 0.750 0.695 0.935
96 O 0.057 0.068 0.930
97 O 0.518 0.271 0.724
98 O 0.750 0.396 0.452
99 O 0.427 0.735 0.629
100 O 0.981 0.209 0.021
101 O 0.482 0.729 0.276
102 O 0.573 0.235 0.871
103 O 0.750 0.106 0.421
104 O 0.981 0.291 0.521
105 O 0.443 0.432 0.430
106 O 0.534 0.077 0.316
107 O 0.943 0.932 0.070
108 O 0.063 0.102 0.782
109 O 0.957 0.376 0.096
110 O 0.957 0.124 0.596
111 O 0.466 0.923 0.684
112 O 0.534 0.423 0.816
113 O 0.437 0.102 0.782
114 O 0.250 0.896 0.048
115 O 0.250 0.539 0.340
116 O 0.481 0.791 0.979
117 O 0.064 0.377 0.952
118 O 0.750 0.864 0.724
119 O 0.250 0.648 0.745
120 O 0.943 0.568 0.570
121 O 0.427 0.765 0.129
122 O 0.064 0.123 0.452
123 O 0.936 0.564 0.335
124 O 0.436 0.436 0.665
125 O 0.966 0.423 0.816
126 O 0.018 0.729 0.276
127 O 0.564 0.623 0.048
128 O 0.436 0.123 0.452
129 O 0.034 0.577 0.184
130 O 0.250 0.195 0.565
131 O 0.519 0.209 0.021
132 O 0.018 0.771 0.776
133 O 0.543 0.124 0.596
134 O 0.073 0.765 0.129
135 O 0.043 0.876 0.404
136 O 0.937 0.898 0.218
137 O 0.019 0.709 0.479
138 O 0.750 0.148 0.755
139 O 0.064 0.064 0.165
140 O 0.927 0.265 0.371
141 O 0.936 0.936 0.835
142 O 0.982 0.229 0.224
143 O 0.436 0.064 0.165
144 O 0.481 0.709 0.479
145 Tb 0.250 0.491 0.881
146 Tb 0.750 0.587 0.452
147 Tb 0.750 0.934 0.328
148 Tb 0.750 0.913 0.952
149 Tb 0.750 0.268 0.629
150 Tb 0.250 0.434 0.172
151 Tb 0.250 0.768 0.871
152 Tb 0.250 0.732 0.371
153 Tb 0.750 0.991 0.619
154 Tb 0.250 0.066 0.672
155 Tb 0.250 0.413 0.548
156 Tb 0.750 0.232 0.129
157 Tb 0.750 0.509 0.119
158 Tb 0.250 0.087 0.048
159 Tb 0.750 0.566 0.828
160 Tb 0.250 0.009 0.381

Results
Symmetry: No. 62
Raw formation energy in eV/atom: -2.7790

Material: PmNiSn2
Method: DFT, GGA-PBE
State: optimized geometry

Lattice parameters (Å, degrees): 4.505 4.472 4.472 90.00 90.00 90.00
Positions (direct):
1 Sn 0.000 0.000 0.500
2 Sn 0.000 0.500 0.000
3 Pm 0.500 0.000 0.000
4 Ni 0.500 0.500 0.500

Results
Symmetry: No. 123
ΔH_f (0 K) in eV/atom: -0.316

Material: TaBeS2
Method: DFT, GGA-PBE
State: optimized geometry

Lattice parameters (Å, degrees): 7.510 7.510 7.510 24.95 24.95 24.95
Positions (direct):
1 S 0.091 0.091 0.091
2 S 0.909 0.909 0.909
3 Be 0.000 0.000 0.000
4 Ta 0.500 0.500 0.500

Results
Symmetry: No. 166
Raw formation energy in eV/atom: -0.4577

Material: Tb5Pm2HoIn
Method: DFT, GGA-PBE
State: optimized geometry

Lattice parameters (Å, degrees): 5.409 10.407 10.610 90.00 90.00 105.06
Positions (direct):
1 Ho 0.206 0.412 0.008
2 Ho 0.794 0.588 0.508
3 Tb 0.987 0.973 0.508
4 Tb 0.383 0.767 0.008
5 Tb 0.290 0.581 0.707
6 Tb 0.617 0.233 0.508
7 Tb 0.013 0.027 0.008
8 Tb 0.710 0.420 0.809
9 Tb 0.500 0.000 0.258
10 Tb 0.710 0.419 0.207
11 Tb 0.500 0.000 0.758
12 Tb 0.290 0.580 0.309
13 Pm 0.884 0.767 0.215
14 Pm 0.116 0.233 0.715
15 Pm 0.116 0.232 0.302
16 Pm 0.884 0.768 0.802
17 In 0.405 0.810 0.508
18 In 0.595 0.190 0.008

Results
Symmetry: No. 36
ΔH_f (0 K) in eV/atom: -0.013

Material: CrAgMoAs2
Method: DFT, GGA-PBE
State: optimized geometry

Lattice parameters (Å, degrees): 4.564 4.984 4.564 90.00 90.00 90.00
Positions (direct):
1 As 0.500 0.000 0.000
2 As 0.000 0.000 0.500
3 Ag 0.000 0.500 0.000
4 Mo 0.500 0.500 0.500
5 Cr 0.000 0.000 0.000

Results
Symmetry: No. 123
ΔH_f (0 K) in eV/atom: 0.971

Material: Pm2PuRu2
Method: DFT, GGA-PBE
State: optimized geometry

Lattice parameters (Å, degrees): 4.148 6.095 10.310 90.00 90.00 109.90
Positions (direct):
1 Ru 0.983 0.966 0.400
2 Ru 0.822 0.645 0.623
3 Ru 0.178 0.355 0.123
4 Ru 0.017 0.034 0.900
5 Pm 0.344 0.689 0.839
6 Pm 0.900 0.801 0.144
7 Pm 0.656 0.311 0.339
8 Pm 0.100 0.199 0.644
9 Pu 0.633 0.267 0.980
10 Pu 0.367 0.733 0.480

Results
Symmetry: No. 36
ΔH_f (0 K) in eV/atom: -0.202

Material: KReRhF2
Method: DFT, GGA-PBE
State: optimized geometry

Lattice parameters (Å, degrees): 4.323 4.811 4.323 90.00 90.00 90.00
Positions (direct):
1 K 0.500 0.500 0.500
2 F 0.500 0.000 0.000
3 F 0.000 0.000 0.500
4 Re 0.000 0.000 0.000
5 Rh 0.000 0.500 0.000

Results
Symmetry: No. 123
Raw formation energy in eV/atom: -0.3784

Material: LiTl6S8
Method: DFT, GGA-PBE
State: optimized geometry

Lattice parameters (Å, degrees): 7.837 7.837 7.837 98.34 98.34 98.34
Positions (direct):
1 S 0.207 0.207 0.207
2 S 0.831 0.324 0.602
3 S 0.324 0.602 0.831
4 S 0.793 0.793 0.793
5 S 0.602 0.831 0.324
6 S 0.169 0.676 0.398
7 S 0.398 0.169 0.676
8 S 0.676 0.398 0.169
9 Tl 0.535 0.152 0.348
10 Tl 0.348 0.535 0.152
11 Tl 0.465 0.848 0.652
12 Tl 0.152 0.348 0.535
13 Tl 0.652 0.465 0.848
14 Tl 0.848 0.652 0.465
15 Li 0.000 0.000 0.000

Results
Symmetry: No. 148
Raw formation energy in eV/atom: -0.0830

Material: LiPmS2
Method: DFT, GGA-PBE
State: optimized geometry

Lattice parameters (Å, degrees): 4.028 4.028 6.623 72.42 72.42 60.05
Positions (direct):
1 Li 0.500 0.500 0.500
2 Pm 0.000 0.000 0.000
3 S 0.249 0.249 0.255
4 S 0.751 0.751 0.745

Results
Symmetry: No. 12
Raw formation energy in eV/atom: -1.7969

Material: Rb2RuPt
Method: DFT, GGA-PBE
State: optimized geometry

Lattice parameters (Å, degrees): 5.533 5.533 5.533 60.00 60.00 60.00
Positions (direct):
1 Rb 0.250 0.250 0.250
2 Rb 0.750 0.750 0.750
3 Ru 0.000 0.000 0.000
4 Pt 0.500 0.500 0.500

Results
Symmetry: No. 225
ΔH_f (0 K) in eV/atom: 1.420

Material: Mn2InSe
Method: DFT, GGA-PBE
State: optimized geometry

Lattice parameters (Å, degrees): 4.615 3.159 5.301 72.54 90.00 90.00
Positions (direct):
1 Mn 0.000 0.048 0.031
2 Mn 0.500 0.421 0.286
3 Se 0.000 0.352 0.419
4 In 0.500 0.679 0.764

Results
Symmetry: No. 6
Raw formation energy in eV/atom: 0.1684